Here is crystalline CrW2IO at its relaxed geometry from Alexandria via LeMat-Bulk. Energies are from PBE+U.

## Properties
E, eV per atom: -5.1199
Crystal system: tetragonal

abc: 4.304 4.304 6.206
angles: 90.00 90.00 90.00
Positions (direct):
1 Cr 0.000 0.000 0.000
2 W 0.000 0.500 0.500
3 W 0.500 0.000 0.500
4 I 0.500 0.500 0.000
5 O 0.000 0.000 0.500